# 1
Pm2MgP3Ir4 | PBE | optimized geometry

total DFT energy (no corrections): -7.165 eV per atom
calculated formation energy: -8.878 eV per formula unit
density: 11.307 g/cm³
volume: 17.3 A^3/atom

a = 4.0332 Å, b = 4.0332 Å, c = 10.6183 Å
α = 90.00°, β = 90.00°, γ = 90.00°
Sites, in units of the cell vectors:
Pm  0.0000  0.5000  0.2412
Pm  0.5000  0.0000  0.7588
Mg  0.0000  0.0000  0.5000
P  0.0000  0.5000  0.8698
P  0.5000  0.0000  0.1302
P  0.5000  0.5000  0.5000
Ir  0.0000  0.0000  0.0000
Ir  0.0000  0.5000  0.6534
Ir  0.5000  0.0000  0.3466
Ir  0.5000  0.5000  0.0000


# 2
Mg2P2IrRh | PBE | optimized geometry

total DFT energy (no corrections): -5.585 eV per atom
calculated formation energy: -3.287 eV per formula unit
density: 6.990 g/cm³
volume: 16.1 A^3/atom

a = 7.2391 Å, b = 7.2391 Å, c = 7.2391 Å
α = 134.11°, β = 67.01°, γ = 134.00°
Sites, in units of the cell vectors:
Mg  0.1672  0.2454  0.4126
Mg  0.3328  0.7454  0.0782
Mg  0.6672  0.2546  0.9218
Mg  0.8328  0.7546  0.5874
P  0.1181  0.7487  0.8669
P  0.3819  0.2487  0.6306
P  0.6181  0.7513  0.3694
P  0.8819  0.2513  0.1331
Ir  0.2500  0.7500  0.5000
Ir  0.7500  0.2500  0.5000
Rh  0.2500  0.2500  0.0000
Rh  0.7500  0.7500  0.0000


> Among the records above, which one has the highest calculated formation energy?

Mg2P2IrRh